# ZnAg2Au (SCAN, single point on PBEsol structure)
# size of the total moment	0.000	μB per atom
# Fermi-level density of states	1.07	states/eV/cell
# space-group type	No. 44
# E_tot	-36.456	eV/atom
# mass density	12.5	g/cm3
data_ZnAg2Au
_chemical_formula_sum 'Zn1 Ag2 Au1'
_symmetry_space_group_name_H-M 'P 1'
_symmetry_Int_Tables_number 1
_cell_length_a 3.989
_cell_length_b 4.102
_cell_length_c 4.833
_cell_angle_alpha 115.11
_cell_angle_beta 114.37
_cell_angle_gamma 90.00
loop_
_symmetry_equiv_pos_as_xyz
'x,y,z'
loop_
_atom_site_label
_atom_site_fract_x
_atom_site_fract_y
_atom_site_fract_z
Zn1 0.249 0.749 0.499
Au1 0.503 0.503 0.007
Ag1 0.997 0.997 0.994
Ag2 0.750 0.250 0.501


# Sc2ZnSe (SCAN, single point on PBEsol structure)
# size of the total moment	0.180	μB per atom
# Fermi-level density of states	2.58	states/eV/cell
# space-group type	No. 123
# uncorrected formation energy	-0.85	eV per atom
# energy above the lowest structure with this stoichiometry	181	meV/atom
# mass density	5.4	g/cm3
data_Sc2ZnSe
_chemical_formula_sum 'Sc2 Zn1 Se1'
_symmetry_space_group_name_H-M 'P 1'
_symmetry_Int_Tables_number 1
_cell_length_a 3.426
_cell_length_b 3.426
_cell_length_c 6.194
_cell_angle_alpha 90.00
_cell_angle_beta 90.00
_cell_angle_gamma 90.00
loop_
_symmetry_equiv_pos_as_xyz
'x,y,z'
loop_
_atom_site_label
_atom_site_fract_x
_atom_site_fract_y
_atom_site_fract_z
Sc1 0.000 0.000 0.751
Sc2 0.000 0.000 0.249
Se1 0.500 0.500 0.000
Zn1 0.500 0.500 0.500


# Sc2Ni (SCAN, single point on PBEsol structure)
# size of the total moment	0.000	μB per atom
# Fermi-level density of states	10.33	states/eV/cell
# space-group type	No. 189
# E_tot	-15.235	eV/atom
# mass density	4.5	g/cm3
data_Sc2Ni
_chemical_formula_sum 'Sc6 Ni3'
_symmetry_space_group_name_H-M 'P 1'
_symmetry_Int_Tables_number 1
_cell_length_a 4.375
_cell_length_b 6.572
_cell_length_c 6.572
_cell_angle_alpha 120.00
_cell_angle_beta 90.00
_cell_angle_gamma 90.00
loop_
_symmetry_equiv_pos_as_xyz
'x,y,z'
loop_
_atom_site_label
_atom_site_fract_x
_atom_site_fract_y
_atom_site_fract_z
Ni1 0.500 0.000 0.000
Ni2 0.000 0.667 0.333
Ni3 0.000 0.333 0.667
Sc1 0.000 0.000 0.264
Sc2 0.500 0.000 0.592
Sc3 0.000 0.736 0.736
Sc4 0.000 0.264 0.000
Sc5 0.500 0.408 0.408
Sc6 0.500 0.592 0.000


# Rb2CrRePt (SCAN, single point on PBEsol structure)
# size of the total moment	0.578	μB per atom
# Fermi-level density of states	2.79	states/eV/cell
# space-group type	No. 123
# E_tot	-38.936	eV/atom
# mass density	5.3	g/cm3
data_Rb2CrRePt
_chemical_formula_sum 'Rb2 Cr1 Re1 Pt1'
_symmetry_space_group_name_H-M 'P 1'
_symmetry_Int_Tables_number 1
_cell_length_a 4.770
_cell_length_b 6.280
_cell_length_c 6.280
_cell_angle_alpha 90.00
_cell_angle_beta 90.00
_cell_angle_gamma 90.00
loop_
_symmetry_equiv_pos_as_xyz
'x,y,z'
loop_
_atom_site_label
_atom_site_fract_x
_atom_site_fract_y
_atom_site_fract_z
Re1 0.500 0.000 0.000
Rb1 0.000 0.000 0.500
Rb2 0.000 0.500 0.000
Pt1 0.000 0.000 0.000
Cr1 0.500 0.500 0.500


# Ta2CuSe (SCAN, single point on PBEsol structure)
# size of the total moment	0.000	μB per atom
# Fermi-level density of states	2.25	states/eV/cell
# space-group type	No. 71
# uncorrected formation energy	0.14	eV per atom
# mass density	13.2	g/cm3
data_Ta2CuSe
_chemical_formula_sum 'Ta2 Cu1 Se1'
_symmetry_space_group_name_H-M 'P 1'
_symmetry_Int_Tables_number 1
_cell_length_a 3.302
_cell_length_b 4.588
_cell_length_c 5.050
_cell_angle_alpha 117.02
_cell_angle_beta 109.08
_cell_angle_gamma 90.00
loop_
_symmetry_equiv_pos_as_xyz
'x,y,z'
loop_
_atom_site_label
_atom_site_fract_x
_atom_site_fract_y
_atom_site_fract_z
Cu1 0.500 0.000 0.000
Se1 0.000 0.500 0.000
Ta1 0.743 0.743 0.485
Ta2 0.257 0.257 0.515


# KScFe (SCAN, single point on PBEsol structure)
# size of the total moment	0.494	μB per atom
# Fermi-level density of states	3.59	states/eV/cell
# space-group type	No. 107
# energy above the lowest structure with this stoichiometry	0	meV/atom
# mass density	3.0	g/cm3
data_KScFe
_chemical_formula_sum 'K1 Sc1 Fe1'
_symmetry_space_group_name_H-M 'P 1'
_symmetry_Int_Tables_number 1
_cell_length_a 3.339
_cell_length_b 3.339
_cell_length_c 7.243
_cell_angle_alpha 103.33
_cell_angle_beta 103.33
_cell_angle_gamma 90.00
loop_
_symmetry_equiv_pos_as_xyz
'x,y,z'
loop_
_atom_site_label
_atom_site_fract_x
_atom_site_fract_y
_atom_site_fract_z
Fe1 0.961 0.961 0.922
K1 0.648 0.648 0.296
Sc1 0.391 0.391 0.782